1.
## SrCu10Ag (PBE)

Data for crystalline SrCu10Ag at its relaxed geometry.

a b c (Å): 4.1143 4.9692 8.8170
angles (deg): 90.00 90.00 90.00
Atoms (fractional coordinates):
Sr1 0.0000 0.0000 0.0000
Cu1 0.0000 0.0000 0.3481
Cu2 0.0000 0.0000 0.6519
Cu3 0.0000 0.5000 0.1933
Cu4 0.0000 0.5000 0.8067
Cu5 0.5000 0.0000 0.5000
Cu6 0.5000 0.2516 0.2587
Cu7 0.5000 0.2516 0.7413
Cu8 0.5000 0.5000 0.0000
Cu9 0.5000 0.7484 0.2587
Cu10 0.5000 0.7484 0.7413
Ag1 0.0000 0.5000 0.5000

Values from the calculation:
Total magnetic moment, μB/f.u.: 0.00
Density, g cm⁻³: 7.65
E_tot, eV/atom: -3.768
Space-group type: Pmmm (47)

2.
## Sr4CuAg2 (PBE)

Data for crystalline Sr4CuAg2 at its relaxed geometry.

a b c (Å): 8.8049 8.8049 8.8049
angles (deg): 140.64 140.64 56.89
Atoms (fractional coordinates):
Sr1 0.0000 0.5000 0.5000
Sr2 0.1985 0.1985 0.0000
Sr3 0.5000 0.0000 0.5000
Sr4 0.8015 0.8015 0.0000
Cu1 0.0000 0.0000 0.0000
Ag1 0.4038 0.4038 0.0000
Ag2 0.5962 0.5962 0.0000

Values from the calculation:
Total magnetic moment, μB/f.u.: 0.00
Density, g cm⁻³: 3.84
E_tot, eV/atom: -2.410
Space-group type: I4/mmm (139)

3.
## SrCu4Ag8 (PBE)

Data for crystalline SrCu4Ag8 at its relaxed geometry.

a b c (Å): 7.1558 7.1558 7.1558
angles (deg): 97.53 97.53 137.55
Atoms (fractional coordinates):
Sr1 0.0000 0.0000 0.0000
Cu1 0.0000 0.0000 0.5000
Cu2 0.0000 0.5000 0.0000
Cu3 0.5000 0.0000 0.0000
Cu4 0.5000 0.5000 0.5000
Ag1 0.0000 0.3505 0.3505
Ag2 0.0000 0.6495 0.6495
Ag3 0.2783 0.5000 0.7783
Ag4 0.3505 0.0000 0.3505
Ag5 0.5000 0.2783 0.7783
Ag6 0.5000 0.7217 0.2217
Ag7 0.6495 0.0000 0.6495
Ag8 0.7217 0.5000 0.2217

Values from the calculation:
Total magnetic moment, μB/f.u.: 0.00
Density, g cm⁻³: 8.68
E_tot, eV/atom: -3.178
Space-group type: I4/mmm (139)

4.
## Sr3CuAg (PBE)

Data for crystalline Sr3CuAg at its relaxed geometry.

a b c (Å): 4.3315 9.2251 9.3493
angles (deg): 96.61 90.05 103.55
Atoms (fractional coordinates):
Sr1 0.0593 0.1178 0.3231
Sr2 0.2267 0.4528 0.6964
Sr3 0.3952 0.7911 0.0483
Sr4 0.6048 0.2089 0.9517
Sr5 0.7733 0.5472 0.3036
Sr6 0.9407 0.8822 0.6769
Cu1 0.2263 0.4522 0.0456
Cu2 0.7737 0.5478 0.9544
Ag1 0.4234 0.8465 0.4082
Ag2 0.5766 0.1535 0.5918

Values from the calculation:
Offset from the most stable computed form, eV per atom: 0.000
Total magnetic moment, μB/f.u.: 0.00
Density, g cm⁻³: 4.00
E_tot, eV/atom: -2.544
Space-group type: P-1 (2)

5.
## SrCuAg4 (PBE)

Data for crystalline SrCuAg4 at its relaxed geometry.

a b c (Å): 5.6502 5.6502 5.6502
angles (deg): 60.00 60.00 60.00
Atoms (fractional coordinates):
Sr1 0.0000 0.0000 0.0000
Cu1 0.2500 0.2500 0.2500
Ag1 0.1271 0.6243 0.6243
Ag2 0.6243 0.1271 0.6243
Ag3 0.6243 0.6243 0.1271
Ag4 0.6243 0.6243 0.6243

Values from the calculation:
Total magnetic moment, μB/f.u.: 0.00
Density, g cm⁻³: 7.59
E_tot, eV/atom: -2.878
Space-group type: F-43m (216)

6.
## SrCuAg3 (PBE)

Data for crystalline SrCuAg3 at its relaxed geometry.

a b c (Å): 5.7987 5.7987 5.7987
angles (deg): 90.00 90.00 90.00
Atoms (fractional coordinates):
Sr1 0.0000 0.0000 0.0000
Cu1 0.5000 0.5000 0.5000
Ag1 0.0000 0.0000 0.5000
Ag2 0.0000 0.5000 0.0000
Ag3 0.5000 0.0000 0.0000

Values from the calculation:
Offset from the most stable computed form, eV per atom: 1.232
Total magnetic moment, μB/f.u.: 0.00
Density, g cm⁻³: 4.04
E_tot, eV/atom: -1.592
Space-group type: Pm-3m (221)